Entry 1:
The following is a DFT calculation (PBE-GGA) of crystalline LaB2N2 at its relaxed geometry. Values from VASP.

Quantum ESPRESSO input file:
```
&SYSTEM
  ibrav = 0, nat = 10, ntyp = 3
/
ATOMIC_SPECIES
La 138.91 La.upf
B 10.81 B.upf
N 14.01 N.upf
ATOMIC_POSITIONS crystal
La 0.000 0.000 0.000
La 0.500 0.500 0.000
B 0.091 0.409 0.000
B 0.409 0.909 0.000
B 0.591 0.091 0.000
B 0.909 0.591 0.000
N 0.130 0.630 0.500
N 0.370 0.130 0.500
N 0.630 0.870 0.500
N 0.870 0.370 0.500
CELL_PARAMETERS angstrom
6.276 0.000 0.000
0.000 6.276 0.000
0.000 0.000 2.808
```

Summary:
Magnetic moment = 0.0 μB per formula unit
SG = P4/mbm
Excess energy over the best structure of this formula in the dataset = 1114 meV/atom
ΔE_f (raw) = 1.158 eV per atom
Electronic total energy = -58.3 eV/cell

Entry 2:
The following is a DFT calculation (PBE-GGA) of crystalline Te2RhF at its relaxed geometry. Values from VASP.

Quantum ESPRESSO input file:
```
&SYSTEM
  ibrav = 0, nat = 4, ntyp = 3
/
ATOMIC_SPECIES
Te 127.60 Te.upf
Rh 102.91 Rh.upf
F 19.00 F.upf
ATOMIC_POSITIONS crystal
Te 0.250 0.250 0.250
Te 0.750 0.750 0.750
Rh 0.000 0.000 0.000
F 0.500 0.500 0.500
CELL_PARAMETERS angstrom
0.000 3.277 3.277
3.277 0.000 3.277
3.277 3.277 0.000
```

Summary:
Magnetic moment = 0.0 μB per formula unit
SG = Fm-3m
Excess energy over the best structure of this formula in the dataset = 61 meV/atom
ΔE_f (raw) = -0.687 eV per atom
Electronic total energy = -18.3 eV/cell

Entry 3:
The following is a DFT calculation (PBE-GGA) of crystalline Cs4Cd4In at its relaxed geometry. Values from VASP.

Quantum ESPRESSO input file:
```
&SYSTEM
  ibrav = 0, nat = 18, ntyp = 3
/
ATOMIC_SPECIES
Cs 132.91 Cs.upf
Cd 112.41 Cd.upf
In 114.82 In.upf
ATOMIC_POSITIONS crystal
Cs 0.063 0.653 0.134
Cs 0.153 0.937 0.634
Cs 0.347 0.563 0.634
Cs 0.437 0.847 0.134
Cs 0.563 0.153 0.866
Cs 0.653 0.437 0.366
Cs 0.847 0.063 0.366
Cs 0.937 0.347 0.866
Cd 0.111 0.308 0.391
Cd 0.192 0.111 0.109
Cd 0.308 0.389 0.109
Cd 0.389 0.192 0.391
Cd 0.611 0.808 0.609
Cd 0.692 0.611 0.891
Cd 0.808 0.889 0.891
Cd 0.889 0.692 0.609
In 0.250 0.250 0.750
In 0.750 0.750 0.250
CELL_PARAMETERS angstrom
11.310 0.000 0.000
0.000 11.310 0.000
0.000 0.000 7.077
```

Summary:
Formation enthalpy at 0 K = -0.007 eV/atom
Magnetic moment = 0.0 μB per formula unit
SG = P4_2/n
Electronic total energy = -19.8 eV/cell

Entry 4:
The following is a DFT calculation (PBE-GGA) of crystalline LaTa2Ag at its relaxed geometry. Values from VASP.

Quantum ESPRESSO input file:
```
&SYSTEM
  ibrav = 0, nat = 4, ntyp = 3
/
ATOMIC_SPECIES
La 138.91 La.upf
Ta 180.95 Ta.upf
Ag 107.87 Ag.upf
ATOMIC_POSITIONS crystal
La 0.000 0.000 0.000
Ta 0.000 0.500 0.500
Ta 0.500 0.000 0.500
Ag 0.500 0.500 0.000
CELL_PARAMETERS angstrom
2.980 -5.033 0.000
2.980 5.033 0.000
0.000 0.000 2.850
```

Summary:
Formation enthalpy at 0 K = 0.659 eV/atom
Magnetic moment = 0.0 μB per formula unit
SG = Cmmm
Excess energy over the best structure of this formula in the dataset = 401 meV/atom
Electronic total energy = -28.8 eV/cell

Entry 5:
The following is a DFT calculation (PBE-GGA) of crystalline Li5TlAu2 at its relaxed geometry. Values from VASP.

Quantum ESPRESSO input file:
```
&SYSTEM
  ibrav = 0, nat = 8, ntyp = 3
/
ATOMIC_SPECIES
Li 6.94 Li.upf
Tl 204.38 Tl.upf
Au 196.97 Au.upf
ATOMIC_POSITIONS crystal
Li 0.000 0.000 0.000
Li 0.143 0.643 0.500
Li 0.357 0.857 0.500
Li 0.643 0.143 0.500
Li 0.857 0.357 0.500
Tl 0.500 0.500 0.000
Au 0.249 0.249 0.000
Au 0.751 0.751 0.000
CELL_PARAMETERS angstrom
-2.177 2.177 7.265
2.177 -2.177 7.265
2.177 2.177 -7.265
```

Summary:
Formation enthalpy at 0 K = -0.395 eV/atom
Magnetic moment = 0.0 μB per formula unit
SG = I4/mmm
Excess energy over the best structure of this formula in the dataset = 0 meV/atom
Electronic total energy = -21.7 eV/cell

Entry 6:
The following is a DFT calculation (PBE-GGA) of crystalline MoPdRh2 at its relaxed geometry. Values from VASP.

Quantum ESPRESSO input file:
```
&SYSTEM
  ibrav = 0, nat = 4, ntyp = 3
/
ATOMIC_SPECIES
Mo 95.94 Mo.upf
Pd 106.42 Pd.upf
Rh 102.91 Rh.upf
ATOMIC_POSITIONS crystal
Mo 0.000 0.000 0.000
Pd 0.500 0.500 0.000
Rh 0.250 0.750 0.500
Rh 0.750 0.250 0.500
CELL_PARAMETERS angstrom
-1.965 1.965 3.807
1.965 -1.965 3.807
1.965 1.965 -3.807
```

Summary:
Formation enthalpy at 0 K = -0.129 eV/atom
Magnetic moment = 0.0 μB per formula unit
SG = I4/mmm
Electronic total energy = -31.2 eV/cell

Entry 7:
The following is a DFT calculation (PBE-GGA) of crystalline ZrNCl2 at its relaxed geometry. Values from VASP.

Quantum ESPRESSO input file:
```
&SYSTEM
  ibrav = 0, nat = 8, ntyp = 3
/
ATOMIC_SPECIES
Zr 91.22 Zr.upf
N 14.01 N.upf
Cl 35.45 Cl.upf
ATOMIC_POSITIONS crystal
Zr 0.000 0.000 0.000
Zr 0.750 0.250 0.500
N 0.250 0.750 0.500
N 0.500 0.500 0.000
Cl 0.375 0.212 0.337
Cl 0.788 0.125 0.163
Cl 0.875 0.038 0.663
Cl 0.962 0.625 0.837
CELL_PARAMETERS angstrom
-4.843 4.843 2.061
4.843 -4.843 2.061
4.843 4.843 -2.061
```

Summary:
Magnetic moment = 1.0 μB per formula unit
SG = I-42d
Excess energy over the best structure of this formula in the dataset = 0 meV/atom
ΔE_f (raw) = -0.808 eV per atom
Electronic total energy = -47.6 eV/cell

Entry 8:
The following is a DFT calculation (PBE-GGA) of crystalline Li3ZrCd4 at its relaxed geometry. Values from VASP.

Quantum ESPRESSO input file:
```
&SYSTEM
  ibrav = 0, nat = 8, ntyp = 3
/
ATOMIC_SPECIES
Li 6.94 Li.upf
Zr 91.22 Zr.upf
Cd 112.41 Cd.upf
ATOMIC_POSITIONS crystal
Li 0.000 0.000 0.000
Li 0.000 0.000 0.237
Li 0.000 0.000 0.763
Zr 0.000 0.000 0.500
Cd 0.500 0.500 0.117
Cd 0.500 0.500 0.354
Cd 0.500 0.500 0.646
Cd 0.500 0.500 0.883
CELL_PARAMETERS angstrom
3.287 0.000 0.000
0.000 3.287 0.000
0.000 0.000 14.041
```

Summary:
Formation enthalpy at 0 K = -0.208 eV/atom
Magnetic moment = 0.0 μB per formula unit
SG = P4/mmm
Electronic total energy = -19.6 eV/cell